Entry from Alexandria via LeMat-Bulk: a crystal of K2MgZrMo4O16 relaxed with PBEsol (SCAN).

Structure (extended XYZ):
```
24
Lattice="5.780 0.000 0.000 2.890 8.744 -0.062 2.890 3.033 8.168" Properties=species:S:1:pos:R:3 pbc="T T T"
K 5.780 2.801 2.072
K 5.780 8.977 6.034
Mg 0.000 0.000 0.000
Zr 5.780 5.889 4.053
Mo 8.669 6.430 6.510
Mo 5.780 9.285 2.290
Mo 2.890 5.348 1.597
Mo 5.780 2.492 5.816
O 8.669 7.816 7.515
O 2.890 1.978 3.306
O 2.890 3.962 0.591
O 8.669 9.800 4.800
O 7.200 6.454 5.464
O 1.441 0.546 1.362
O 4.359 6.454 5.464
O 4.338 0.546 1.362
O 8.669 5.022 7.528
O 5.780 7.842 3.406
O 4.359 5.324 2.643
O 10.118 11.232 6.744
O 7.200 5.324 2.643
O 7.221 11.232 6.744
O 2.890 6.756 0.579
O 5.780 3.936 4.700
```

Computed properties:
For the total moment, the calculation gives 0.0000 μB per atom. For the uncorrected formation energy, the calculation gives -2.492 eV/atom. For the calculated volume, the calculation gives 414 Å³ per cell. Its total energy is -14.64 eV per atom. As for the crystal system: monoclinic. As for the space group: C2/m (12).